Record 1
Below is a crystal of ScGe2Bi2 relaxed with PBEsol, with properties calculated at the meta-GGA SCAN level.

## Properties
- Symmetry: I4/mmm

Structure (POSCAR):
```
ScGe2Bi2
1.0
-2.6761 -2.3620 2.3631
2.9001 -3.1456 0.1401
2.6598 5.5745 4.7068
Bi Sc Ge
2 1 2
Cartesian
2.8359 -0.1624 3.0492
0.0478 0.2294 4.1607
0.0000 0.0000 0.0000
2.3085 2.3493 4.9626
0.5752 -2.2824 2.2474
```

***

Record 2
Below is a crystal of K2TcPt relaxed with PBEsol, with properties calculated at the meta-GGA SCAN level.

## Properties
- Symmetry: Cmmm

Structure (POSCAR):
```
K2TcPt
1.0
-0.6832 -2.3534 -1.1577
1.9115 -1.2545 1.4553
-7.2407 -1.8094 7.9509
K Tc Pt
2 1 1
Cartesian
-5.3532 -1.3377 5.8782
-1.8876 -0.4717 2.0727
0.6141 -1.8039 0.1488
-3.0062 -2.7087 4.1242
```

***

Record 3
Below is a crystal of InTcPt2 relaxed with PBEsol, with properties calculated at the meta-GGA SCAN level.

## Properties
- Symmetry: C2/m

Structure (POSCAR):
```
InTcPt2
1.0
2.8331 0.0000 0.0000
-1.4166 4.5800 0.0093
0.0000 -0.7754 4.8547
In Pt Tc
1 2 1
Cartesian
1.4166 0.0000 0.0000
1.4166 1.6774 3.5748
0.0000 2.1272 1.2892
0.0000 -0.3877 2.4273
```

***

Record 4
Below is a crystal of CaLaRu3 relaxed with PBEsol, with properties calculated at the meta-GGA SCAN level.

## Properties
- Symmetry: Pm-3m

Structure (POSCAR):
```
CaLaRu3
1.0
-4.2974 0.0569 -1.8307
-1.2246 -3.5615 2.7639
-1.3621 3.0225 3.2912
Ru Ca La
3 1 1
Cartesian
-2.1487 0.0284 -0.9154
-0.6810 1.5112 1.6456
-0.6123 -1.7807 1.3819
0.0000 0.0000 0.0000
-3.4420 -0.2411 2.1122
```

***

Record 5
Below is a crystal of GaSb2PO relaxed with PBEsol, with properties calculated at the meta-GGA SCAN level.

## Properties
- Symmetry: P4/mmm
- ΔE_f (raw): 1095.2 meV per atom

Structure (POSCAR):
```
GaSb2PO
1.0
-3.3945 0.6809 2.7360
1.2014 -4.3754 2.5794
3.1109 2.7291 3.1805
Sb Ga P O
2 1 1 1
Cartesian
1.5554 1.3646 1.5902
0.6007 -2.1877 1.2897
0.0000 0.0000 0.0000
-1.6972 0.3404 1.3680
0.4589 -0.4827 4.2479
```

***

Record 6
Below is a crystal of Li2IrRu relaxed with PBEsol, with properties calculated at the meta-GGA SCAN level.

## Properties
- Symmetry: Imm2

Structure (POSCAR):
```
Li2IrRu
1.0
-1.7923 2.1811 -0.5994
-3.0156 -1.8827 2.1666
3.5918 1.7300 2.5026
Li Ru Ir
2 1 1
Cartesian
0.0358 0.0566 0.0990
-0.3371 1.9750 1.2470
1.1701 1.8513 3.2373
-0.8972 0.0247 2.7726
```

***

Spin magnetization
In order: 0.00; 0.00; 0.00; 0.00; 1.00; 0.00
Unit: μB/f.u.
Mass density
In order: 7.71; 7.70; 15.89; 7.85; 4.98; 10.70
Unit: g cm⁻³
Total DFT energy (no corrections)
In order: -208.33; -118.74; -208.98; -149.90; -102.02; -110.47
Unit: eV per formula unit